The following is a DFT calculation (GGA+U) of FeP4O12 after structural relaxation. Values from VASP.

Geometry as Quantum ESPRESSO input:
```
&SYSTEM
  ibrav = 0, nat = 34, ntyp = 3
/
ATOMIC_SPECIES
Fe 55.84 Fe.upf
P 30.97 P.upf
O 16.00 O.upf
CELL_PARAMETERS angstrom
-2.796 4.165 1.074
-5.538 -2.861 -8.447
-7.164 -6.963 3.225
ATOMIC_POSITIONS crystal
Fe 0.000 0.000 0.500
Fe 0.000 0.500 0.000
P 0.471 0.298 0.057
P 0.194 0.789 0.358
P 0.529 0.943 0.702
P 0.471 0.057 0.298
P 0.194 0.358 0.789
P 0.806 0.211 0.642
P 0.806 0.642 0.211
P 0.529 0.702 0.943
O 0.763 0.061 0.330
O 0.963 0.549 0.169
O 0.237 0.670 0.939
O 0.368 0.916 0.272
O 0.639 0.325 0.574
O 0.307 0.394 0.088
O 0.000 0.765 0.235
O 0.693 0.912 0.606
O 0.037 0.831 0.451
O 0.763 0.330 0.061
O 0.963 0.169 0.549
O 0.406 0.150 0.150
O 0.594 0.850 0.850
O 0.237 0.939 0.670
O 0.632 0.728 0.084
O 0.000 0.235 0.765
O 0.361 0.426 0.675
O 0.307 0.088 0.394
O 0.037 0.451 0.831
O 0.693 0.606 0.912
O 0.361 0.675 0.426
O 0.632 0.084 0.728
O 0.368 0.272 0.916
O 0.639 0.574 0.325
```

Summary:
SG = No. 12
polymorph energy (0 for the lowest one) = 0 meV/atom